VASP calculation (PBE-GGA) on crystalline CaPbSe2 at its relaxed geometry.

Calculated values
M_tot   0.0 μB per formula unit
Uncorrected formation energy   -767 meV per atom
Crystal system   trigonal
Symmetry   R-3m (166)
Final energy   -3.94 eV/atom
Fermi-level density of states   0.432 states/eV/atom
Theoretical density   4.70 g/cm3

extended XYZ file:
```
12
Lattice="4.4250 0.0000 0.0000 -2.2125 3.8321 0.0000 0.0000 0.0000 25.3369" Properties=species:S:1:pos:R:3 pbc="T T T"
Ca 0.0000 0.0000 0.0000
Ca 0.0000 2.5548 16.8913
Ca 2.2125 1.2774 8.4456
Pb 0.0000 0.0000 12.6685
Pb 0.0000 2.5548 4.2228
Pb 2.2125 1.2774 21.1141
Se 0.0000 0.0000 9.9029
Se 0.0000 0.0000 15.4340
Se 0.0000 2.5548 1.4573
Se 0.0000 2.5548 6.9883
Se 2.2125 1.2774 18.3486
Se 2.2125 1.2774 23.8796
```